A relaxed CoPCl2F crystal, computed with GGA+U.

Cell: 5.3402 5.3402 3.5914 Å, 90.00 90.00 90.00°
Last column: magnetic moment on the atom in μB.
Sites, in units of the cell vectors:
Co: 0.5000 0.5000 0.5000  2.52
P: 0.0000 0.0000 0.5000  -0.19
Cl: 0.0000 0.5000 0.0000  0.00
Cl: 0.5000 0.0000 0.0000  0.00
F: 0.0000 0.0000 0.0000  -0.01

Raw total energy (eV per cell): -14.367
Spin magnetization (μB/cell): 2.16
Relative energy among the computed polymorphs (eV/f.u.): 0.85